# 1
The following is a DFT calculation (SCAN) of a crystal of PRuWCl2 relaxed with PBEsol.

Lattice parameters (Å, degrees): 4.634 4.634 4.532 90.00 90.00 90.00
Space group P4/mmm (No. 123)
Symmetry-distinct sites (fractional):
P (0.000, 0.000, 0.000) x1
Ru (0.000, 0.000, 0.500) x1
W (0.500, 0.500, 0.000) x1
Cl (0.000, 0.500, 0.500) x2

Output
energy relative to the elements, uncorrected = 1.2538 eV/atom
energy above the lowest structure with this stoichiometry = 289 meV per atom

# 2
The following is a DFT calculation (SCAN) of a crystal of YPRuCl2 relaxed with PBEsol.

Lattice parameters (Å, degrees): 4.632 4.632 4.626 90.00 90.00 90.00
Space group P4/mmm (No. 123)
Symmetry-distinct sites (fractional):
Y (0.000, 0.000, 0.000) x1
P (0.500, 0.500, 0.000) x1
Ru (0.500, 0.500, 0.500) x1
Cl (0.000, 0.500, 0.500) x2

Output
energy relative to the elements, uncorrected = -0.4789 eV/atom

# 3
The following is a DFT calculation (SCAN) of a crystal of PSeS2Cl relaxed with PBEsol.

Lattice parameters (Å, degrees): 4.490 4.490 4.814 90.00 90.00 90.00
Space group P4/mmm (No. 123)
Symmetry-distinct sites (fractional):
P (0.000, 0.000, 0.000) x1
Se (0.500, 0.500, 0.000) x1
S (0.000, 0.500, 0.500) x2
Cl (0.000, 0.000, 0.500) x1

Output
energy relative to the elements, uncorrected = 1.4849 eV/atom

Copy entry 1 word for word.
The following is a DFT calculation (SCAN) of a crystal of PRuWCl2 relaxed with PBEsol.

Lattice parameters (Å, degrees): 4.634 4.634 4.532 90.00 90.00 90.00
Space group P4/mmm (No. 123)
Symmetry-distinct sites (fractional):
P (0.000, 0.000, 0.000) x1
Ru (0.000, 0.000, 0.500) x1
W (0.500, 0.500, 0.000) x1
Cl (0.000, 0.500, 0.500) x2

Output
energy relative to the elements, uncorrected = 1.2538 eV/atom
energy above the lowest structure with this stoichiometry = 289 meV per atom

Q: Number 3 is which compound?
A: PSeS2Cl

Q: Look up the energy relative to the elements, uncorrected of the second one.
A: -0.4789 eV/atom